Here is a relaxed YTl2P crystal from Alexandria via LeMat-Bulk. Energies are from PBE-GGA.

Values from the calculation:
As for the calculated density: 8.454 g/cm³. The value obtained for the energy above the lowest structure with this stoichiometry is 248 meV per atom. The value obtained for the total energy is -17.67 eV per formula unit. Its crystal system is orthorhombic. The calculation puts the formation energy from the elements at -0.267 eV per atom.

Structure (extended XYZ):
```
4
Lattice="4.7449 -1.1702 3.5336 -1.0566 -4.0079 4.3807 -0.2184 0.6351 -5.9933" Properties=species:S:1:pos:R:3 pbc="T T T"
P 3.1301 -1.4846 0.6303
Tl 3.5398 -4.9696 7.5956
Tl 0.3133 -3.0213 1.2339
Y 2.0192 -2.8348 4.3327
```

=====

Here is a relaxed GePdSCl2 crystal from Alexandria via LeMat-Bulk. Energies are from PBE-GGA.

Values from the calculation:
The calculation puts the uncorrected formation energy at 42 meV/atom. As for the calculated density: 4.238 g/cm³. The value obtained for the energy above the lowest structure with this stoichiometry is 0 meV per atom. The value obtained for the total energy is -17.42 eV per formula unit. Its crystal system is tetragonal.

Structure (extended XYZ):
```
5
Lattice="-1.0897 0.5079 4.6095 1.1372 -4.5612 0.7714 4.5955 1.3052 0.9426" Properties=species:S:1:pos:R:3 pbc="T T T"
Ge 2.3215 -1.3741 3.1617
S 2.2977 0.6526 0.4713
Cl -0.5449 0.2539 2.3047
Cl 0.5686 -2.2806 0.3857
Pd 0.0000 0.0000 0.0000
```

=====

Here is a relaxed Cs2TlZnI6 crystal from Alexandria via LeMat-Bulk. Energies are from PBE-GGA.

Values from the calculation:
The calculation puts the uncorrected formation energy at -856 meV/atom. As for the calculated density: 4.883 g/cm³. The value obtained for the total energy is -23.21 eV per formula unit. Its crystal system is tetragonal.

Structure (extended XYZ):
```
10
Lattice="-5.5136 -3.8425 5.2651 4.2890 -7.3315 -0.8591 2.8665 -4.1054 6.9273" Properties=species:S:1:pos:R:3 pbc="T T T"
Cs 3.2716 -8.5120 4.1356
Cs -1.6297 -6.7675 7.1977
Tl 0.0000 0.0000 0.0000
I 1.0408 -4.8830 4.4480
I -0.3214 -2.9329 1.1565
I -2.9407 -4.7583 3.6576
I 1.7161 -6.4157 0.7483
I -0.9032 -8.2411 3.2495
I 0.6011 -10.3965 6.8853
Zn -0.6123 -5.5870 2.2030
```

=====

Here is a relaxed Cd2TcSe crystal from Alexandria via LeMat-Bulk. Energies are from PBE-GGA.

Values from the calculation:
The calculation puts the uncorrected formation energy at 445 meV/atom. As for the calculated density: 8.513 g/cm³. The value obtained for the total energy is -13.90 eV per formula unit. Its crystal system is trigonal.

Structure (extended XYZ):
```
4
Lattice="-4.4620 -5.9544 7.7195 -4.9676 -7.7628 5.4788 -2.4065 -7.8586 6.8853" Properties=species:S:1:pos:R:3 pbc="T T T"
Tc -2.9590 -5.3940 5.0209
Cd -11.7328 -21.3875 19.9083
Cd -6.0214 -10.9762 10.2171
Se -8.8771 -16.1819 15.0627
```

=====

Here is a relaxed MnTl2Sb crystal from Alexandria via LeMat-Bulk. Energies are from PBE-GGA.

Values from the calculation:
The calculation puts the uncorrected formation energy at 171 meV/atom. As for the calculated density: 9.020 g/cm³. The value obtained for the energy above the lowest structure with this stoichiometry is 0 meV per atom. The value obtained for the total energy is -17.34 eV per formula unit. Its crystal system is monoclinic.

Structure (extended XYZ):
```
4
Lattice="-3.1748 1.1602 0.8886 -0.4194 -3.0965 2.5444 2.9090 2.7824 6.7606" Properties=species:S:1:pos:R:3 pbc="T T T"
Mn 1.6036 0.8201 4.6584
Tl 2.8248 2.5229 6.7986
Tl -0.9862 -0.0197 3.3752
Sb 0.0265 0.1481 6.7744
```

=====

Here is a relaxed Ba3Zn4Ga4 crystal from Alexandria via LeMat-Bulk. Energies are from PBE-GGA.

Values from the calculation:
As for the calculated density: 5.485 g/cm³. The value obtained for the total energy is -26.51 eV per formula unit. Its crystal system is triclinic. The calculation puts the formation energy from the elements at -0.322 eV per atom.

Structure (extended XYZ):
```
11
Lattice="-2.9637 3.6622 0.3116 -0.0289 -0.3983 4.5633 8.8913 9.9555 3.1840" Properties=species:S:1:pos:R:3 pbc="T T T"
Ba 0.1747 5.9862 2.8164
Ba 5.7239 7.2332 5.2425
Ba 0.0001 0.0001 0.0001
Ga 3.2724 8.4664 3.0432
Ga 6.3606 10.7654 5.5494
Ga 2.6262 4.7529 5.0157
Ga -0.4618 2.4540 2.5096
Zn 3.7121 5.7998 2.8136
Zn 5.3461 10.1328 3.1895
Zn 2.1864 7.4196 5.2454
Zn 0.5526 3.0867 4.8695
```

=====

Here is a relaxed CeIn2Pd crystal from Alexandria via LeMat-Bulk. Energies are from PBE-GGA.

Values from the calculation:
As for the calculated density: 8.372 g/cm³. The value obtained for the total energy is -18.20 eV per formula unit. Its crystal system is tetragonal. The calculation puts the formation energy from the elements at -0.399 eV per atom.

Structure (extended XYZ):
```
4
Lattice="4.9110 0.0000 0.0000 0.0000 4.3854 0.0000 0.0000 0.0000 4.3854" Properties=species:S:1:pos:R:3 pbc="T T T"
In 0.0000 2.1927 0.0000
In 0.0000 0.0000 2.1927
Pd 2.4555 0.0000 0.0000
Ce 2.4555 2.1927 2.1927
```

=====

Here is a relaxed BaAg3Bi crystal from Alexandria via LeMat-Bulk. Energies are from PBE-GGA.

Values from the calculation:
As for the calculated density: 5.653 g/cm³. The value obtained for the energy above the lowest structure with this stoichiometry is 905 meV per atom. The value obtained for the total energy is -9.40 eV per formula unit. Its crystal system is cubic. The calculation puts the formation energy from the elements at 0.991 eV per atom.

Structure (extended XYZ):
```
5
Lattice="-2.3372 -0.3233 5.3164 0.5783 -5.7868 -0.0977 5.2947 0.4893 2.3574" Properties=species:S:1:pos:R:3 pbc="T T T"
Ag 0.2891 -2.8934 -0.0488
Ag 2.6474 0.2447 1.1787
Ag -1.1686 -0.1616 2.6582
Bi 1.7679 -2.8104 3.7881
Ba 0.0000 0.0000 0.0000
```

=====

Here is a relaxed ZnGePt4 crystal from Alexandria via LeMat-Bulk. Energies are from PBE-GGA.

Values from the calculation:
As for the calculated density: 15.097 g/cm³. The value obtained for the total energy is -32.15 eV per formula unit. Its crystal system is monoclinic. The calculation puts the formation energy from the elements at -0.350 eV per atom.

Structure (extended XYZ):
```
12
Lattice="-0.2202 -5.5848 1.7669 4.7506 0.8525 3.3265 -5.6977 3.9234 1.9657" Properties=species:S:1:pos:R:3 pbc="T T T"
Pt 1.5075 0.8199 2.8044
Pt -0.1888 1.5896 5.0338
Pt -0.3005 -1.2022 5.9198
Pt -2.5661 1.1641 3.3737
Pt 1.3988 -1.9730 3.6854
Pt -2.6748 -1.6288 4.2547
Pt -0.9785 -2.3985 2.0253
Pt -0.8668 0.3933 1.1393
Ge -0.4736 2.3879 2.6461
Ge -2.9590 -0.8307 1.8663
Zn 3.3983 -3.5491 3.8204
Zn -4.5656 2.7402 3.2387
```

=====

Here is a relaxed Li2ReBr crystal from Alexandria via LeMat-Bulk. Energies are from PBE-GGA.

Values from the calculation:
The calculation puts the uncorrected formation energy at 613 meV/atom. As for the calculated density: 7.192 g/cm³. The value obtained for the energy above the lowest structure with this stoichiometry is 509 meV per atom. The value obtained for the total energy is -15.49 eV per formula unit. Its crystal system is tetragonal.

Structure (extended XYZ):
```
4
Lattice="-1.1758 -2.1236 1.6477 1.5675 -3.2214 -3.0332 4.0048 -0.3353 2.4257" Properties=species:S:1:pos:R:3 pbc="T T T"
Br 1.4145 -1.2294 2.0367
Li 0.0000 0.0000 0.0000
Li 2.7861 -1.7784 -0.3038
Re 0.1958 -2.6725 -0.6928
```

=====

Here is a relaxed Cs2CaCrI6 crystal from Alexandria via LeMat-Bulk. Energies are from PBE-GGA.

Values from the calculation:
The calculation puts the uncorrected formation energy at -1154 meV/atom. As for the calculated density: 4.290 g/cm³. The value obtained for the energy above the lowest structure with this stoichiometry is 40 meV per atom. The value obtained for the total energy is -34.18 eV per formula unit. Its crystal system is cubic.

Structure (extended XYZ):
```
10
Lattice="8.4943 0.0000 0.0000 0.0000 8.4943 0.0000 4.2471 4.2471 6.0044" Properties=species:S:1:pos:R:3 pbc="T T T"
I 4.2471 4.2471 3.1236
I 6.4559 2.0384 0.0000
I 2.0384 2.0384 0.0000
I 2.0384 6.4559 0.0000
I 8.4943 8.4943 2.8808
I 6.4559 6.4559 0.0000
Ca 4.2471 4.2471 0.0000
Cs 4.2471 8.4943 3.0022
Cs 8.4943 4.2471 3.0022
Cr 0.0000 0.0000 0.0000
```

=====

Here is a relaxed LiIn2Tc crystal from Alexandria via LeMat-Bulk. Energies are from PBE-GGA.

Values from the calculation:
As for the calculated density: 7.180 g/cm³. The value obtained for the energy above the lowest structure with this stoichiometry is 336 meV per atom. The value obtained for the total energy is -16.37 eV per formula unit. Its crystal system is orthorhombic. The calculation puts the formation energy from the elements at 0.346 eV per atom.

Structure (extended XYZ):
```
4
Lattice="-2.6775 -0.8670 -0.7409 0.4238 -2.4219 1.5571 -3.3936 4.1607 7.3951" Properties=species:S:1:pos:R:3 pbc="T T T"
Li -1.7785 2.1806 3.8757
Tc -3.6299 1.4244 5.8625
In -3.2726 4.0124 7.1314
In -2.0568 -0.5043 2.4345
```

=====

Here is a relaxed Zr2WC crystal from Alexandria via LeMat-Bulk. Energies are from PBE-GGA.

Values from the calculation:
As for the calculated density: 9.596 g/cm³. The value obtained for the total energy is -36.68 eV per formula unit. Its crystal system is tetragonal. The calculation puts the formation energy from the elements at 0.648 eV per atom.

Structure (extended XYZ):
```
4
Lattice="-1.7100 -2.0268 3.5556 -0.2386 -3.7983 -2.2782 3.0651 -0.8024 1.0167" Properties=species:S:1:pos:R:3 pbc="T T T"
C 0.6776 -1.4146 2.2862
Zr -0.9743 -2.9125 0.6387
Zr 0.0000 0.0000 0.0000
W 1.4132 -2.3003 -0.6308
```

=====

Here is a relaxed HfV3Cr crystal from Alexandria via LeMat-Bulk. Energies are from PBE-GGA.

Values from the calculation:
As for the calculated density: 6.277 g/cm³. The value obtained for the energy above the lowest structure with this stoichiometry is 1178 meV per atom. The value obtained for the total energy is -37.98 eV per formula unit. Its crystal system is cubic. The calculation puts the formation energy from the elements at 1.791 eV per atom.

Structure (extended XYZ):
```
5
Lattice="4.6631 0.0000 0.0000 0.0000 4.6631 0.0000 0.0000 0.0000 4.6631" Properties=species:S:1:pos:R:3 pbc="T T T"
V 0.0000 0.0000 2.3315
V 0.0000 2.3315 0.0000
V 2.3315 0.0000 0.0000
Cr 2.3315 2.3315 2.3315
Hf 0.0000 0.0000 0.0000
```

=====

Here is a relaxed TlGeN2O crystal from Alexandria via LeMat-Bulk. Energies are from PBE-GGA.

Values from the calculation:
The calculation puts the uncorrected formation energy at 674 meV/atom. As for the calculated density: 8.893 g/cm³. The value obtained for the total energy is -25.22 eV per formula unit. Its crystal system is tetragonal.

Structure (extended XYZ):
```
5
Lattice="3.9932 0.0000 0.0000 0.0000 3.9932 0.0000 0.0000 0.0000 3.7595" Properties=species:S:1:pos:R:3 pbc="T T T"
Tl 1.9966 1.9966 1.8797
O 0.0000 0.0000 1.8797
N 1.9966 0.0000 0.0000
N 0.0000 1.9966 0.0000
Ge 0.0000 0.0000 0.0000
```

=====

Here is a relaxed TmPaGaCu crystal from Alexandria via LeMat-Bulk. Energies are from PBE-GGA.

Values from the calculation:
As for the calculated density: 10.398 g/cm³. The value obtained for the total energy is -21.61 eV per formula unit. Its crystal system is cubic. The calculation puts the formation energy from the elements at -0.131 eV per atom.

Structure (extended XYZ):
```
4
Lattice="4.9384 0.0000 0.0000 2.4692 4.2767 0.0000 2.4692 1.4256 4.0321" Properties=species:S:1:pos:R:3 pbc="T T T"
Ga 7.4075 4.2767 3.0241
Tm 4.9384 2.8512 2.0161
Pa 0.0000 0.0000 0.0000
Cu 2.4692 1.4256 1.0080
```

=====

Here is a relaxed Li2MoAs crystal from Alexandria via LeMat-Bulk. Energies are from PBE-GGA.

Values from the calculation:
As for the calculated density: 5.164 g/cm³. The value obtained for the total energy is -19.16 eV per formula unit. Its crystal system is orthorhombic. The calculation puts the formation energy from the elements at 0.036 eV per atom.

Structure (extended XYZ):
```
4
Lattice="-2.0029 -1.6111 0.9651 -0.0692 -2.0936 -3.6386 3.5239 -3.2877 1.8247" Properties=species:S:1:pos:R:3 pbc="T T T"
Li 3.5151 -3.2795 1.8202
Li 1.7707 -1.6520 0.9169
As 1.6069 -4.3181 0.0318
Mo -0.1551 -2.6743 -0.8806
```

=====

Here is a relaxed ErAlGe crystal from Alexandria via LeMat-Bulk. Energies are from PBE-GGA.

Values from the calculation:
As for the calculated density: 7.382 g/cm³. The value obtained for the total energy is -14.85 eV per formula unit. Its crystal system is orthorhombic. The calculation puts the formation energy from the elements at -0.643 eV per atom.

Structure (extended XYZ):
```
6
Lattice="5.5430 0.0104 0.0000 -4.0618 3.7718 0.0000 0.0000 0.0000 5.7312" Properties=species:S:1:pos:R:3 pbc="T T T"
Er 2.5656 1.1764 1.4328
Er -1.0844 2.6058 4.2984
Ge -0.2891 2.2943 1.4328
Ge 1.7703 1.4879 4.2984
Al 0.0000 0.0000 0.0000
Al 0.0000 0.0000 2.8656
```

=====

Here is a relaxed Pm3Hg2Au4 crystal from Alexandria via LeMat-Bulk. Energies are from PBE-GGA.

Values from the calculation:
As for the calculated density: 12.581 g/cm³. The value obtained for the total energy is -33.90 eV per formula unit. Its crystal system is monoclinic. The calculation puts the formation energy from the elements at -0.659 eV per atom.

Structure (extended XYZ):
```
9
Lattice="-1.7216 -4.2945 -1.2101 5.1650 1.3879 -2.8233 7.5313 -3.9638 3.3526" Properties=species:S:1:pos:R:3 pbc="T T T"
Hg 5.4055 -1.7337 -1.5374
Hg 5.5692 -5.1367 0.8566
Pm 2.8706 -3.6427 -0.6065
Pm 8.1041 -3.2278 -0.0743
Pm 0.0000 0.0000 0.0000
Au 2.8172 -0.6485 -1.7064
Au 8.1576 -6.2220 1.0256
Au 5.9060 -4.3878 -2.2806
Au 5.0687 -2.4827 1.5998
```

=====

Here is a relaxed GeIr crystal from Alexandria via LeMat-Bulk. Energies are from PBE-GGA.

Values from the calculation:
As for the calculated density: 10.533 g/cm³. The value obtained for the total energy is -13.58 eV per formula unit. Its crystal system is tetragonal. The calculation puts the formation energy from the elements at -0.052 eV per atom.

Structure (extended XYZ):
```
16
Lattice="9.0022 0.0000 0.0000 0.0000 9.0022 0.0000 0.0000 0.0000 4.1221" Properties=species:S:1:pos:R:3 pbc="T T T"
Ir 5.3034 7.8267 2.0610
Ir 0.8023 3.3257 0.0000
Ir 5.6765 0.8023 0.0000
Ir 8.1999 5.6765 0.0000
Ir 3.3257 8.1999 0.0000
Ir 7.8267 3.6988 2.0610
Ir 3.6988 1.1754 2.0610
Ir 1.1754 5.3034 2.0610
Ge 6.7627 5.8599 2.0610
Ge 6.7405 7.6434 0.0000
Ge 3.1423 6.7627 2.0610
Ge 2.2395 3.1423 2.0610
Ge 1.3588 6.7405 0.0000
Ge 5.8599 2.2395 2.0610
Ge 7.6434 2.2616 0.0000
Ge 2.2616 1.3588 0.0000
```